Record 1
DFT (PBE) results for a relaxed ZrSi3Se crystal.

Unit cell a=4.7141 b=4.7141 c=4.7141 alpha=90.00 beta=90.00 gamma=90.00
With the nearest neighbours (Å) after each atom.
Space group Pm-3m (No. 221)
Symmetry-distinct sites (fractional):
1 Zr 0.0000 0.0000 0.0000  12 Si 3.33
2 Si 0.0000 0.5000 0.5000  2 Se 2.36
3 Se 0.5000 0.5000 0.5000  6 Si 2.36

VASP energy   -23.94 eV for the cell shown
Density of states at the Fermi level   0.8157 states/eV/atom
Polymorph energy (0 for the lowest one)   0.000 eV/atom
Volume   20.95 Å³ per atom
Raw formation energy   0.873 eV per atom


Record 2
DFT (PBE) results for a relaxed DyMgAl2Pd4 crystal.

Unit cell a=4.4107 b=4.4107 c=24.2907 alpha=90.00 beta=90.00 gamma=120.00
With the nearest neighbours (Å) after each atom.
Space group R-3m (No. 166, hexagonal axes)
Symmetry-distinct sites (fractional):
1 Dy 0.0000 0.0000 0.0000  8 Pd 2.94-3.07
2 Mg 0.0000 0.0000 0.5000  8 Pd 2.57-2.73
3 Al 0.0000 0.0000 0.2412  7 Pd 2.66-2.79
4 Pd 0.0000 0.0000 0.1264  4 Al 2.68-2.79, 3 Mg 2.73
5 Pd 0.0000 0.0000 0.3940  1 Mg 2.57, 3 Al 2.66

VASP energy   -123.26 eV for the cell shown
Density of states at the Fermi level   0.5826 states/eV/atom
Volume   17.05 Å³ per atom


Record 3
DFT (PBE) results for a relaxed CaPaFeN3 crystal.

Unit cell a=7.0138 b=3.4758 c=7.6043 alpha=90.00 beta=96.86 gamma=90.00
With the nearest neighbours (Å) after each atom.
Space group P2_1/m (No. 11)
Symmetry-distinct sites (fractional):
1 Ca 0.1520 0.2500 0.1744  5 N 2.43-2.66
2 Pa 0.3513 0.7500 0.8257  6 N 2.31-2.35
3 Fe 0.0622 0.2500 0.5994  4 N 1.83-1.94
4 N 0.1369 0.2500 0.8535  1 Fe 1.94
5 N 0.1590 0.7500 0.5553  3 Fe 1.83-1.91
6 N 0.4230 0.7500 0.1306  3 Pa 2.31-2.35

VASP energy   -102.05 eV for the cell shown
Density of states at the Fermi level   0.2992 states/eV/atom
Volume   15.34 Å³ per atom
Raw formation energy   -1.015 eV per atom